No. 1
A relaxed Pr5Zr3O12 crystal, computed with PBE.

* ρ: 6.13 g/cm3
* calculated total energy: -8.123 eV per atom

Unit cell a=13.6346 b=13.6346 c=13.6346 alpha=90.00 beta=90.00 gamma=90.00
Space group Ia-3d (No. 230)
Inequivalent atoms, fractional coordinates:
Pr1 0.0000 0.0000 0.0000 (multiplicity 16)
Pr2 0.0000 0.2500 0.3750 (multiplicity 24)
Zr1 0.0000 0.2500 0.1250 (multiplicity 24)
O1 0.0268 0.0891 0.6486 (multiplicity 96)


No. 2
A relaxed Pr2ZrO5 crystal, computed with PBE.

* ρ: 7.03 g/cm3
* calculated total energy: -8.690 eV per atom

Unit cell a=9.9842 b=6.8713 c=6.2359 alpha=90.00 beta=90.00 gamma=90.00
Space group Pnma (No. 62)
Inequivalent atoms, fractional coordinates:
Pr1 0.1728 0.0021 0.0293 (multiplicity 8)
Zr1 0.0056 0.2500 0.5582 (multiplicity 4)
O1 0.0052 0.2500 0.9346 (multiplicity 4)
O2 0.0874 0.5254 0.6561 (multiplicity 8)
O3 0.1829 0.2500 0.3445 (multiplicity 4)
O4 0.2010 0.7500 0.3246 (multiplicity 4)


No. 3
A relaxed Pr3ZrO6 crystal, computed with PBE.

* ρ: 6.31 g/cm3
* calculated total energy: -8.435 eV per atom

Unit cell a=9.6361 b=11.5043 c=5.7926 alpha=90.00 beta=90.00 gamma=90.00
Space group Cmc2_1 (No. 36)
Inequivalent atoms, fractional coordinates:
Pr1 0.0000 0.1036 0.0000 (multiplicity 4)
Pr2 0.1999 0.3940 0.0479 (multiplicity 8)
Zr1 0.0000 0.3415 0.5638 (multiplicity 4)
O1 0.0000 0.2811 0.2310 (multiplicity 4)
O2 0.0000 0.4852 0.8262 (multiplicity 4)
O3 0.1494 0.2508 0.7370 (multiplicity 8)
O4 0.1534 0.0138 0.2758 (multiplicity 8)


No. 4
A relaxed PrZrO crystal, computed with PBE.

* ρ: 7.04 g/cm3
* calculated total energy: -7.692 eV per atom

Unit cell a=12.3335 b=3.4844 c=5.4474 alpha=90.00 beta=90.00 gamma=90.00
Space group Pnma (No. 62)
Inequivalent atoms, fractional coordinates:
Pr1 0.2108 0.2500 0.2436 (multiplicity 4)
Zr1 0.0360 0.2500 0.7510 (multiplicity 4)
O1 0.1067 0.7500 0.9849 (multiplicity 4)


Q: calculated total energy of number 3 (Pr3ZrO6)?
A: -8.435 eV per atom


Q: Which of these has the highest calculated total energy?
A: PrZrO


Q: ρ of number 2 (Pr2ZrO5)?
A: 7.03 g/cm3